The following is a PBE-GGA calculation of an optimized crystal structure of HfTl2CoB, from Alexandria.

Summary:
Calculated volume: 19.5 Å³/atom
Energy relative to the elements: 0.74 eV per atom

abc: 5.0970 5.0970 3.7444
angles: 90.00 90.00 90.00
Closest atoms and distances in Å follow each position.
Sites, in units of the cell vectors:
1 Hf 0.0000 0.0000 0.0000  8 Tl 3.16
2 Tl 0.0000 0.5000 0.5000  2 Co 2.55
3 Tl 0.5000 0.0000 0.5000  2 Co 2.55
4 Co 0.5000 0.5000 0.5000  2 B 1.87
5 B 0.5000 0.5000 0.0000  2 Co 1.87